1.
DFT (meta-GGA SCAN) results for DyGeRu at its PBEsol-relaxed geometry.

Its theoretical density is 10.32 g/cm³. The density of states at the Fermi level is 0.7784 states/eV per atom. The uncorrected energy is -34.75 eV/atom. As for the formation energy: -0.85 eV per atom.

The space group is Pnma (No. 62) and the conventional cell measures 6.940, 4.385 and 7.111 Å, with angles of 90.00, 90.00 and 90.00 degrees. The inequivalent atoms are Dy at (0.016, 0.250, 0.191), Ge at (0.202, 0.250, 0.607) and Ru at (0.155, 0.750, 0.437).

=====

2.
DFT (meta-GGA SCAN) results for ZrScAl2 at its PBEsol-relaxed geometry.

Its theoretical density is 4.22 g/cm³. The calculation puts the energy above the most stable polymorph in this dataset at 89.3 meV/atom. The density of states at the Fermi level is 0.7966 states/eV per atom. The uncorrected energy is -15.49 eV/atom. As for the formation energy: -0.38 eV per atom.

The space group is Fm-3m (No. 225) and the conventional cell measures 6.687, 6.687 and 6.687 Å, with angles of 90.00, 90.00 and 90.00 degrees. The inequivalent atoms are Zr at (0.000, 0.000, 0.000), Sc at (0.000, 0.000, 0.500) and Al at (0.250, 0.250, 0.250).

=====

3.
DFT (meta-GGA SCAN) results for CsNa2I2 at its PBEsol-relaxed geometry.

Its theoretical density is 3.36 g/cm³. The density of states at the Fermi level is 0.4568 states/eV per atom. For the uncorrected formation energy, the calculation gives -1.021 eV per atom. The uncorrected energy is -24.97 eV/atom.

The space group is I4/mmm (No. 139) and the conventional cell measures 4.978, 4.978 and 17.281 Å, with angles of 90.00, 90.00 and 90.00 degrees. The inequivalent atoms are Cs at (0.000, 0.000, 0.000), Na at (0.000, 0.500, 0.250) and I at (0.000, 0.000, 0.380).

=====

4.
DFT (meta-GGA SCAN) results for Sc2CrB at its PBEsol-relaxed geometry.

Its theoretical density is 3.57 g/cm³. The density of states at the Fermi level is 0.5908 states/eV per atom. The uncorrected energy is -13.26 eV/atom. As for the formation energy: 0.32 eV per atom.

The space group is R-3m (No. 166, hexagonal axes) and the conventional cell measures 3.1254, 3.1254 and 25.2203 Å, with angles of 90.00, 90.00 and 120.00 degrees. The inequivalent atoms are Sc at (0.0000, 0.0000, 0.1068), Cr at (0.0000, 0.0000, 0.0000) and B at (0.0000, 0.0000, 0.5000).

=====

5.
DFT (meta-GGA SCAN) results for K2MgPOs at its PBEsol-relaxed geometry.

Its theoretical density is 3.18 g/cm³. The density of states at the Fermi level is 0.5966 states/eV per atom. The uncorrected energy is -19.48 eV/atom. As for the formation energy: 1.30 eV per atom.

The space group is P4/mmm (No. 123) and the conventional cell measures 5.807, 5.807 and 5.018 Å, with angles of 90.00, 90.00 and 90.00 degrees. The inequivalent atoms are K at (0.000, 0.500, 0.000), Mg at (0.000, 0.000, 0.500), P at (0.500, 0.500, 0.500) and Os at (0.000, 0.000, 0.000).

=====

6.
DFT (meta-GGA SCAN) results for SrBe3Nb at its PBEsol-relaxed geometry.

Its theoretical density is 3.97 g/cm³. The density of states at the Fermi level is 0.3829 states/eV per atom. The uncorrected energy is -11.35 eV/atom. As for the formation energy: 2.35 eV per atom.

The space group is Pm-3m (No. 221) and the conventional cell measures 4.430, 4.430 and 4.430 Å, with angles of 90.00, 90.00 and 90.00 degrees. The inequivalent atoms are Sr at (0.000, 0.000, 0.000), Be at (0.000, 0.000, 0.500) and Nb at (0.500, 0.500, 0.500).

=====

7.
DFT (meta-GGA SCAN) results for AlFe2As at its PBEsol-relaxed geometry.

Its theoretical density is 6.31 g/cm³. The calculation puts the energy above the most stable polymorph in this dataset at 294.1 meV/atom. The density of states at the Fermi level is 0.6431 states/eV per atom. The uncorrected energy is -15.74 eV/atom. As for the formation energy: 0.31 eV per atom.

The space group is I-42d (No. 122) and the conventional cell measures 6.615, 6.615 and 5.136 Å, with angles of 90.00, 90.00 and 90.00 degrees. The inequivalent atoms are Al at (0.000, 0.000, 0.000), Fe at (0.223, 0.750, 0.625) and As at (0.000, 0.000, 0.500).

=====

8.
DFT (meta-GGA SCAN) results for LaP2Ru at its PBEsol-relaxed geometry.

Its theoretical density is 6.77 g/cm³. The calculation puts the energy above the most stable polymorph in this dataset at 0.0 meV/atom. The density of states at the Fermi level is 0.4878 states/eV per atom. The uncorrected energy is -25.33 eV/atom. As for the formation energy: -0.65 eV per atom.

The space group is Cm (No. 8) and the conventional cell measures 8.419, 3.501 and 5.179 Å, with angles of 90.00, 104.15 and 90.00 degrees. The inequivalent atoms are La at (0.000, 0.000, 0.000), P at (0.000, 0.500, 0.508), P at (0.231, 0.000, 0.659) and Ru at (0.279, 0.500, 0.404).